Entry 1:
This record from the Open Quantum Materials Database describes Zr4SnHgC2 after structural relaxation. The functional is PBE.

Unit cell a=3.3743 b=3.3743 c=14.8299 alpha=90.00 beta=90.00 gamma=120.00
Atoms (fractional coordinates):
Zr: 0.0000 0.0000 0.1653
Zr: 0.0000 0.0000 0.8347
Zr: 0.6667 0.3333 0.3337
Zr: 0.6667 0.3333 0.6663
Sn: 0.6667 0.3333 0.0000
Hg: 0.0000 0.0000 0.5000
C: 0.3333 0.6667 0.2504
C: 0.3333 0.6667 0.7496



Entry 2:
This record from the Open Quantum Materials Database describes Tb6Hg2C after structural relaxation. The functional is PBE.

Unit cell a=6.9446 b=6.9829 c=12.0389 alpha=90.00 beta=125.20 gamma=90.00
Atoms (fractional coordinates):
Tb: 0.1591 0.0082 0.2432
Tb: 0.1591 0.4918 0.7432
Tb: 0.2693 0.7392 0.0430
Tb: 0.2693 0.7608 0.5430
Tb: 0.3041 0.2288 0.0438
Tb: 0.3041 0.2712 0.5438
Tb: 0.6959 0.7288 0.4562
Tb: 0.6959 0.7712 0.9562
Tb: 0.7307 0.2392 0.4570
Tb: 0.7307 0.2608 0.9570
Tb: 0.8409 0.5082 0.2568
Tb: 0.8409 0.9918 0.7568
Hg: 0.2614 0.0206 0.7488
Hg: 0.2614 0.4794 0.2488
Hg: 0.7386 0.5206 0.7512
Hg: 0.7386 0.9794 0.2512
C: 0.0000 0.0000 0.0000
C: 0.0000 0.5000 0.5000



Entry 3:
This record from the Open Quantum Materials Database describes Tm4HgTeC2 after structural relaxation. The functional is PBE.

Unit cell a=3.6623 b=3.6623 c=14.5841 alpha=90.00 beta=90.00 gamma=120.00
Atoms (fractional coordinates):
Tm: 0.0000 0.0000 0.1557
Tm: 0.0000 0.0000 0.8443
Tm: 0.6667 0.3333 0.3337
Tm: 0.6667 0.3333 0.6663
Hg: 0.0000 0.0000 0.5000
Te: 0.6667 0.3333 0.0000
C: 0.3333 0.6667 0.2430
C: 0.3333 0.6667 0.7570



Entry 4:
This record from the Open Quantum Materials Database describes Zr4HgTeC2 after structural relaxation. The functional is PBE.

Unit cell a=3.4550 b=3.4550 c=14.1730 alpha=90.00 beta=90.00 gamma=120.00
Atoms (fractional coordinates):
Zr: 0.0000 0.0000 0.1549
Zr: 0.0000 0.0000 0.8451
Zr: 0.3333 0.6667 0.3279
Zr: 0.3333 0.6667 0.6721
Hg: 0.0000 0.0000 0.5000
Te: 0.3333 0.6667 0.0000
C: 0.6667 0.3333 0.2433
C: 0.6667 0.3333 0.7567



Entry 5:
This record from the Open Quantum Materials Database describes Tm4TlHgC2 after structural relaxation. The functional is PBE.

Unit cell a=3.5631 b=3.5631 c=15.6840 alpha=90.00 beta=90.00 gamma=120.00
Atoms (fractional coordinates):
Tm: 0.0000 0.0000 0.1622
Tm: 0.0000 0.0000 0.8378
Tm: 0.3333 0.6667 0.3311
Tm: 0.3333 0.6667 0.6689
Tl: 0.0000 0.0000 0.5000
Hg: 0.3333 0.6667 0.0000
C: 0.6667 0.3333 0.2455
C: 0.6667 0.3333 0.7545



Entry 6:
This record from the Open Quantum Materials Database describes Tm2HgC after structural relaxation. The functional is PBE.

Unit cell a=3.5552 b=3.5552 c=23.0718 alpha=90.00 beta=90.00 gamma=120.00
Atoms (fractional coordinates):
Tm: 0.0000 0.0000 0.2239
Tm: 0.0000 0.0000 0.7761
Tm: 0.3333 0.6667 0.4428
Tm: 0.3333 0.6667 0.8906
Tm: 0.6667 0.3333 0.1094
Tm: 0.6667 0.3333 0.5572
Hg: 0.0000 0.0000 0.0000
Hg: 0.3333 0.6667 0.6667
Hg: 0.6667 0.3333 0.3333
C: 0.0000 0.0000 0.5000
C: 0.3333 0.6667 0.1667
C: 0.6667 0.3333 0.8333



Calculated values (eV for the cell shown) of E_tot for the records, taken in order: -62.5, -81.5, -44.9, -61.9, -42.4, -60.6.